(1)
The following is a DFT calculation (GGA-PBEsol) of a geometry-optimized ZnSb2Pt structure.

The structure in POSCAR format:
```
ZnSb2Pt
1.0
-3.441 -1.357 -2.235
0.909 -4.084 1.081
-1.145 3.104 4.055
Pt Sb Zn
1 2 1
direct
0.250 0.750 0.500 Pt
0.000 0.000 0.000 Sb
0.750 0.250 0.500 Sb
0.500 0.500 0.000 Zn
```

Calculated values
- Symmetry: No. 119
- ρ: 10.5 g cm⁻³
- ΔE_f (raw): 0.128 eV per atom
- Magnetization: 0.000 μB/f.u.
- Volume: 79.3 Å³/cell

***

(2)
The following is a DFT calculation (GGA-PBEsol) of a geometry-optimized SrAsPd3 structure.

The structure in POSCAR format:
```
SrAsPd3
1.0
4.717 0.000 0.000
0.000 4.717 0.000
0.000 0.000 4.717
Sr As Pd
1 1 3
direct
0.500 0.500 0.500 Sr
0.000 0.000 0.000 As
0.000 0.500 0.000 Pd
0.000 0.000 0.500 Pd
0.500 0.000 0.000 Pd
```

Calculated values
- Symmetry: No. 221
- ρ: 7.6 g cm⁻³
- Magnetization: 0.000 μB/f.u.
- E_form: -2.4 eV per formula unit
- Volume: 105.0 Å³/cell

***

(3)
The following is a DFT calculation (GGA-PBEsol) of a geometry-optimized YTa2Zn structure.

The structure in POSCAR format:
```
YTa2Zn
1.0
-0.629 -2.406 1.759
-0.741 -1.994 -2.992
6.599 -1.963 -0.326
Ta Y Zn
2 1 1
direct
0.000 0.000 0.994 Ta
0.500 0.500 0.214 Ta
0.000 0.000 0.507 Y
0.500 0.500 0.785 Zn
```

Calculated values
- Symmetry: No. 25
- ρ: 11.1 g cm⁻³
- Magnetization: 0.000 μB/f.u.
- E_form: 0.4 eV per formula unit
- Volume: 77.1 Å³/cell